No. 1
A relaxed UZnCo3 crystal. Source: Alexandria via LeMat-Bulk, functional PBE.

The value obtained for the spin magnetization is 0.0 μB/f.u. As for the formation enthalpy at 0 K: 12.93 kJ/mol of atoms. Its total energy is -6.64 eV per atom. The calculated volume comes out at 70.8 Å³/f.u.

Cell and atoms, written as POSCAR:
```
UZnCo3
1.0
4.420 0.000 0.000
0.000 5.267 -3.037
0.000 0.002 6.079
Zn Co U
2 6 2
direct
0.500 0.000 0.000
0.000 0.000 0.000
0.750 0.202 0.403
0.250 0.403 0.202
0.750 0.201 0.799
0.250 0.798 0.597
0.750 0.597 0.798
0.250 0.799 0.201
0.250 0.333 0.667
0.750 0.667 0.333
```

---

No. 2
A relaxed ZrU2Co9 crystal. Source: Alexandria via LeMat-Bulk, functional PBE.

The energy above the most stable polymorph in this dataset comes out at 0 meV/atom. The value obtained for the spin magnetization is 3.6 μB/f.u. As for the formation enthalpy at 0 K: -24.20 kJ/mol of atoms. Its total energy is -8.17 eV per atom. The calculated volume comes out at 157.5 Å³/f.u.

Cell and atoms, written as POSCAR:
```
ZrU2Co9
1.0
3.752 0.000 0.000
0.000 3.752 0.000
0.000 0.000 11.190
U Co Zr
2 9 1
direct
0.000 0.000 0.330
0.000 0.000 0.670
0.000 0.500 0.829
0.000 0.500 0.171
0.500 0.000 0.171
0.500 0.000 0.500
0.500 0.500 0.000
0.500 0.500 0.665
0.000 0.500 0.500
0.500 0.500 0.335
0.500 0.000 0.829
0.000 0.000 0.000
```

---

No. 3
A relaxed ZrU2Co9 crystal. Source: Alexandria via LeMat-Bulk, functional PBE.

The energy above the most stable polymorph in this dataset comes out at 58 meV/atom. The value obtained for the spin magnetization is 3.7 μB/f.u. As for the formation enthalpy at 0 K: -18.62 kJ/mol of atoms. Its total energy is -8.12 eV per atom. The calculated volume comes out at 160.3 Å³/f.u.

Cell and atoms, written as POSCAR:
```
ZrU2Co9
1.0
4.781 0.000 0.000
2.390 4.140 0.000
2.390 1.380 8.098
Co U Zr
9 2 1
direct
0.419 0.419 0.245
0.419 0.917 0.245
0.667 0.667 0.999
0.083 0.581 0.755
0.581 0.581 0.755
0.333 0.333 0.001
0.581 0.083 0.755
0.500 0.500 0.500
0.917 0.419 0.245
0.140 0.140 0.580
0.860 0.860 0.420
0.000 0.000 0.000
```

---

No. 4
A relaxed Zr2UCo crystal. Source: Alexandria via LeMat-Bulk, functional PBE.

The value obtained for the spin magnetization is 2.1 μB/f.u. As for the formation enthalpy at 0 K: 3.42 kJ/mol of atoms. Its total energy is -8.84 eV per atom. The calculated volume comes out at 78.2 Å³/f.u.

Cell and atoms, written as POSCAR:
```
Zr2UCo
1.0
3.118 0.000 0.000
0.000 3.118 0.000
0.000 0.000 8.046
Zr U Co
2 1 1
direct
0.000 0.000 0.204
0.000 0.000 0.796
0.500 0.500 0.500
0.500 0.500 0.000
```

---

No. 5
A relaxed ZrUCo2 crystal. Source: Alexandria via LeMat-Bulk, functional PBE.

The value obtained for the spin magnetization is 0.9 μB/f.u. As for the formation enthalpy at 0 K: -9.15 kJ/mol of atoms. Its total energy is -8.61 eV per atom. The calculated volume comes out at 65.7 Å³/f.u.

Cell and atoms, written as POSCAR:
```
ZrUCo2
1.0
-0.463 2.562 -1.689
-2.980 -0.783 -0.370
-1.608 3.445 5.667
Zr U Co
1 1 2
direct
0.500 0.500 0.500
0.500 0.500 0.000
0.000 0.000 0.742
0.000 0.000 0.258
```

---

No. 6
A relaxed V3Co7 crystal. Source: Alexandria via LeMat-Bulk, functional PBE.

The value obtained for the spin magnetization is 1.2 μB/f.u. As for the formation enthalpy at 0 K: -14.76 kJ/mol of atoms. Its total energy is -7.86 eV per atom. The calculated volume comes out at 110.8 Å³/f.u.

Cell and atoms, written as POSCAR:
```
V3Co7
1.0
-2.599 1.049 2.174
-3.368 -1.045 -3.523
1.776 -6.062 2.156
Co V
7 3
direct
0.401 0.196 0.802
0.202 0.112 0.404
0.000 0.500 0.000
0.600 0.308 0.201
0.798 0.888 0.596
0.400 0.692 0.799
0.599 0.804 0.198
0.193 0.620 0.385
0.000 0.000 0.000
0.807 0.380 0.615
```

---

The lowest formation enthalpy at 0 K belongs to which entry?
number 2